Entry 1:
Sr2Zn2Ag | PBE | relaxed

Cell lengths 10.674, 6.230, 8.449 Å; angles 90.00, 102.68, 90.00 degrees
Space group C2/c (No. 15)
Unique sites:
1 Sr 0.153 0.118 0.153 x8
2 Zn 0.123 0.377 0.499 x8
3 Ag 0.000 0.363 0.750 x4

Output
The value obtained for the energy of formation from the pure elements is -1.100 eV/f.u. The total magnetization is 0.0 μB/f.u. The uncorrected energy is -39.4 eV for the cell shown.

***

Entry 2:
SmDy2Y2Er2 | PBE | relaxed

Cell lengths 5.6616, 5.6616, 24.3742 Å; angles 90.00, 90.00, 120.00 degrees
Space group R-3m (No. 166, hexagonal axes)
Unique sites:
1 Sm 0.0000 0.0000 0.0000 x3
2 Dy 0.0000 0.0000 0.2820 x6
3 Y 0.0000 0.0000 0.1413 x6
4 Er 0.0000 0.0000 0.4275 x6

Output
The value obtained for the energy of formation from the pure elements is 0.983 eV/f.u. The total magnetization is 0.5 μB/f.u. The uncorrected energy is -105.0 eV for the cell shown.

***

Entry 3:
TmRe2PbO8 | PBE | relaxed

Cell lengths 5.9992, 5.9992, 7.0734 Å; angles 90.00, 90.00, 120.00 degrees
Space group P-3m1 (No. 164)
Unique sites:
1 Tm 0.0000 0.0000 0.0000 x1
2 Re 0.3333 0.6667 0.2733 x2
3 Pb 0.0000 0.0000 0.5000 x1
4 O 0.1634 0.3267 0.2012 x6
5 O 0.3333 0.6667 0.5249 x2

Output
Its formation energy from raw total energies is -1740.9 meV per atom. The total magnetization is 3.0 μB/f.u. The uncorrected energy is -93.6 eV for the cell shown.

***

Entry 4:
B5C7 | PBE | relaxed

Cell lengths 4.456, 4.574, 4.638 Å; angles 62.29, 69.40, 85.19 degrees
Space group P1 (No. 1)
Unique sites:
1 B 0.000 0.000 0.000 x1
2 B 0.036 0.295 0.242 x1
3 B 0.255 0.003 0.431 x1
4 B 0.610 0.367 0.373 x1
5 B 0.652 0.990 0.394 x1
6 C 0.072 0.641 0.581 x1
7 C 0.149 0.661 0.199 x1
8 C 0.192 0.346 0.816 x1
9 C 0.528 0.680 0.065 x1
10 C 0.543 0.342 0.758 x1
11 C 0.638 0.012 0.016 x1
12 C 0.699 0.655 0.708 x1

Output
The value obtained for the energy of formation from the pure elements is 4.949 eV/f.u. The total magnetization is 0.0 μB/f.u. The uncorrected energy is -93.0 eV for the cell shown.

***

- Look up the uncorrected energy of the fourth one.
  -93.0 eV for the cell shown

***

- total magnetization of number 1 (Sr2Zn2Ag)?
  0.0 μB/f.u.